Entry 1:
Density functional theory data (PBE) for a relaxed AcAgGeSb crystal.

Computed properties:
Space-group type: No. 216
Formation energy (no corrections) (meV/atom): -241

a b c (Å): 5.298 5.298 5.298
angles (deg): 60.00 60.00 60.00
Fractional coordinates of all 4 atoms:
Ac 0.000 0.000 0.000
Ge 0.750 0.750 0.750
Sb 0.500 0.500 0.500
Ag 0.250 0.250 0.250

Entry 2:
Density functional theory data (PBE) for a relaxed KBaW4 crystal.

Computed properties:
E_form (eV/atom): 1.4092
Space-group type: No. 216

a b c (Å): 5.718 5.718 5.718
angles (deg): 60.00 60.00 60.00
Fractional coordinates of all 6 atoms:
W 0.372 0.372 0.372
W 0.372 0.372 0.884
K 0.000 0.000 0.000
Ba 0.750 0.750 0.750
W 0.372 0.884 0.372
W 0.884 0.372 0.372

no.,electronic total energy (eV per atom)
1,-4.1654
2,-7.7297